First-principles (PBE-GGA) data for a relaxed structure of NbHOs, as listed in Alexandria via LeMat-Bulk.

Geometry as POSCAR:
```
NbHOs
1.0
4.653 0.000 0.000
0.000 3.011 0.000
0.000 0.000 4.906
H Os Nb
2 2 2
direct
0.500 0.500 0.000
0.000 0.500 0.000
0.250 0.500 0.317
0.750 0.500 0.683
0.250 0.000 0.789
0.750 0.000 0.211
```

Results
Energy relative to the lowest polymorph listed for this composition, eV per formula unit: 0.000
V, Å³/f.u.: 34.4